# 1
First-principles (PBE) data for YSi2Se after structural relaxation, as listed in the Alexandria database.

Geometry as CIF:
```
data_YSi2Se
_chemical_formula_sum 'Y1 Si2 Se1'
_cell_length_a 4.0147
_cell_length_b 3.9086
_cell_length_c 5.8867
_cell_angle_alpha 90.00
_cell_angle_beta 106.63
_cell_angle_gamma 90.00
_space_group_name_H-M_alt 'P 1 m 1'
_space_group_IT_number 6
_space_group_name_Hall 'P -2y'
loop_
_atom_site_label
_atom_site_fract_x
_atom_site_fract_y
_atom_site_fract_z
Y1 0.0000 0.0000 0.0000
Si1 0.5254 0.5000 0.2765
Si2 0.7986 0.0000 0.4580
Se1 0.4459 0.5000 0.8423
```

Calculated values
raw formation energy	-542	meV/atom
volume	22.13	A^3/atom



# 2
First-principles (PBE) data for SrYRe2 after structural relaxation, as listed in the Alexandria database.

Geometry as CIF:
```
data_SrYRe2
_chemical_formula_sum 'Sr3 Y3 Re6'
_cell_length_a 4.2135
_cell_length_b 4.2135
_cell_length_c 23.8012
_cell_angle_alpha 90.00
_cell_angle_beta 90.00
_cell_angle_gamma 120.00
_space_group_name_H-M_alt 'R 3 m'
_space_group_IT_number 160
_space_group_name_Hall 'R 3 -2"'
loop_
_atom_site_label
_atom_site_fract_x
_atom_site_fract_y
_atom_site_fract_z
Sr1 0.0000 0.0000 0.0000
Y1 0.0000 0.0000 0.8191
Re1 0.0000 0.0000 0.2406
Re2 0.0000 0.0000 0.5592
```

Calculated values
excess energy over the best structure of this formula in the dataset	0.0	meV/atom
energy of formation from the pure elements	240	meV per atom
volume	30.49	A^3/atom



# 3
First-principles (PBE) data for Ni2RhN after structural relaxation, as listed in the Alexandria database.

Geometry as CIF:
```
data_Ni2RhN
_chemical_formula_sum 'Ni8 Rh4 N4'
_cell_length_a 6.2661
_cell_length_b 6.2661
_cell_length_c 4.4544
_cell_angle_alpha 90.00
_cell_angle_beta 90.00
_cell_angle_gamma 90.00
_space_group_name_H-M_alt 'I -4 2 d'
_space_group_IT_number 122
_space_group_name_Hall 'I -4 2bw'
loop_
_atom_site_label
_atom_site_fract_x
_atom_site_fract_y
_atom_site_fract_z
Ni1 0.1496 0.2500 0.1250
Rh1 0.0000 0.0000 0.5000
N1 0.0000 0.0000 0.0000
```

Calculated values
raw formation energy	357	meV/atom
volume	10.93	A^3/atom



# 4
First-principles (PBE) data for Pm2Ho2Rh3 after structural relaxation, as listed in the Alexandria database.

Geometry as CIF:
```
data_Pm2Ho2Rh3
_chemical_formula_sum 'Pm2 Ho2 Rh3'
_cell_length_a 4.3916
_cell_length_b 5.9930
_cell_length_c 7.4526
_cell_angle_alpha 99.27
_cell_angle_beta 90.09
_cell_angle_gamma 111.49
_space_group_name_H-M_alt 'P -1'
_space_group_IT_number 2
_space_group_name_Hall '-P 1'
loop_
_atom_site_label
_atom_site_fract_x
_atom_site_fract_y
_atom_site_fract_z
Pm1 0.1336 0.2658 0.3555
Ho1 0.3627 0.7246 0.0711
Rh1 0.0000 0.0000 0.0000
Rh2 0.1932 0.3887 0.7348
```

Calculated values
excess energy over the best structure of this formula in the dataset	80.0	meV/atom
energy of formation from the pure elements	-640	meV per atom
volume	25.68	A^3/atom